(1)
This record from Alexandria via LeMat-Bulk describes AlRe2Hg after structural relaxation. The functional is PBE.

Unit cell a=3.879 b=3.879 c=4.279 alpha=90.00 beta=90.00 gamma=90.00
Space group P4/mmm (No. 123)
Asymmetric unit:
Al: 0.000 0.000 0.000 [1 per cell]
Re: 0.000 0.500 0.500 [2 per cell]
Hg: 0.500 0.500 0.000 [1 per cell]

Total energy in eV/atom: -6.60
ΔE_f in meV per atom: 634
Total magnetic moment in μB per atom: 0.000

***

(2)
This record from Alexandria via LeMat-Bulk describes Th2Co4Si3Tc after structural relaxation. The functional is PBE.

Unit cell a=4.004 b=4.004 c=9.827 alpha=90.00 beta=90.00 gamma=90.00
Space group P-4m2 (No. 115)
Asymmetric unit:
Th: 0.000 0.500 0.243 [2 per cell]
Co: 0.000 0.000 0.000 [1 per cell]
Co: 0.000 0.500 0.629 [2 per cell]
Co: 0.500 0.500 0.000 [1 per cell]
Si: 0.000 0.500 0.876 [2 per cell]
Si: 0.500 0.500 0.500 [1 per cell]
Tc: 0.000 0.000 0.500 [1 per cell]

Total energy in eV/atom: -7.66
Uncorrected formation energy in eV/f.u.: -6.70
Total magnetic moment in μB per atom: 0.000

***

(3)
This record from Alexandria via LeMat-Bulk describes Ba2Mg after structural relaxation. The functional is PBE.

Unit cell a=8.797 b=8.797 c=8.797 alpha=90.00 beta=90.00 gamma=90.00
Space group Pa-3 (No. 205)
Asymmetric unit:
Ba: 0.160 0.160 0.160 [8 per cell]
Mg: 0.000 0.000 0.500 [4 per cell]

Total energy in eV/atom: -1.66
ΔE_f in meV per atom: 150
Total magnetic moment in μB per atom: 0.000

***

(4)
This record from Alexandria via LeMat-Bulk describes Na6Te after structural relaxation. The functional is PBE.

Unit cell a=8.470 b=8.470 c=8.470 alpha=90.00 beta=90.00 gamma=90.00
Space group Im-3m (No. 229)
Asymmetric unit:
Na: 0.000 0.250 0.500 [12 per cell]
Te: 0.000 0.000 0.000 [2 per cell]

Total energy in eV/atom: -1.23
Uncorrected formation energy in eV/f.u.: 2.43
Total magnetic moment in μB per atom: 0.000

***

(5)
This record from Alexandria via LeMat-Bulk describes TmPaCoPt after structural relaxation. The functional is PBE.

Unit cell a=6.833 b=6.833 c=6.833 alpha=90.00 beta=90.00 gamma=90.00
Space group F-43m (No. 216)
Asymmetric unit:
Tm: 0.000 0.000 0.000 [4 per cell]
Pa: 0.000 0.000 0.500 [4 per cell]
Co: 0.250 0.250 0.750 [4 per cell]
Pt: 0.250 0.250 0.250 [4 per cell]

Total energy in eV/atom: -7.31
ΔE_f in meV per atom: -533
Total magnetic moment in μB per atom: 0.000

***

(6)
This record from Alexandria via LeMat-Bulk describes DyYTm4Sc2 after structural relaxation. The functional is PBE.

Unit cell a=6.943 b=6.943 c=11.131 alpha=90.02 beta=90.00 gamma=119.96
Space group P-1 (No. 2)
Asymmetric unit:
Dy: 0.000 0.000 0.000 [1 per cell]
Dy: 0.500 0.000 0.000 [1 per cell]
Y: 0.000 0.000 0.500 [1 per cell]
Y: 0.000 0.500 0.000 [1 per cell]
Tm: 0.168 0.832 0.255 [2 per cell]
Tm: 0.169 0.335 0.253 [2 per cell]
Tm: 0.334 0.667 0.743 [2 per cell]
Tm: 0.336 0.170 0.748 [2 per cell]
Sc: 0.000 0.500 0.500 [1 per cell]
Sc: 0.500 0.000 0.500 [1 per cell]
Sc: 0.500 0.500 0.000 [1 per cell]
Sc: 0.500 0.500 0.500 [1 per cell]

Total energy in eV/atom: -5.17
ΔE_f in meV per atom: 28
Total magnetic moment in μB per atom: 0.000

***

Copy entry 4 word for word.
This record from Alexandria via LeMat-Bulk describes Na6Te after structural relaxation. The functional is PBE.

Unit cell a=8.470 b=8.470 c=8.470 alpha=90.00 beta=90.00 gamma=90.00
Space group Im-3m (No. 229)
Asymmetric unit:
Na: 0.000 0.250 0.500 [12 per cell]
Te: 0.000 0.000 0.000 [2 per cell]

Total energy in eV/atom: -1.23
Uncorrected formation energy in eV/f.u.: 2.43
Total magnetic moment in μB per atom: 0.000

***

- Which value of total magnetic moment does entry 2 give?
  0.000 μB per atom

***

- Number 3 is which compound?
  Ba2Mg